Record 1
Entry from Alexandria via LeMat-Bulk: a relaxed structure of HfBSCl2 (PBE).

Output
The value obtained for the energy relative to the lowest polymorph listed for this composition is 0.000 kcal/mol of atoms. The formation energy from raw total energies is -0.01 eV/atom.

abc: 4.987 4.987 4.923
angles: 90.00 90.00 90.00
Space group P4/mmm (No. 123)
One atom of each set of equivalent atoms:
Hf  0.000  0.000  0.000
B  0.500  0.500  0.500
S  0.000  0.000  0.500
Cl  0.000  0.500  0.000

***

Record 2
Entry from Alexandria via LeMat-Bulk: a relaxed structure of CaSnHg3 (PBE).

Output
The value obtained for the energy relative to the lowest polymorph listed for this composition is 0.730 kcal/mol of atoms. The calculation puts the calculated formation energy at -0.2729 eV/atom.

abc: 15.468 5.086 7.033
angles: 90.00 106.94 90.00
Space group C2/m (No. 12)
One atom of each set of equivalent atoms:
Ca  0.123  0.000  0.470
Sn  0.022  0.500  0.721
Hg  0.090  0.000  0.936
Hg  0.168  0.500  0.213
Hg  0.220  0.500  0.751

***

Record 3
Entry from Alexandria via LeMat-Bulk: a relaxed structure of Pm5AgSn2 (PBE).

Output
The calculation puts the calculated formation energy at -0.4245 eV/atom.

abc: 7.099 7.099 9.031
angles: 90.00 90.00 90.00
Space group I4/mmm (No. 139)
One atom of each set of equivalent atoms:
Pm  0.000  0.000  0.000
Pm  0.250  0.250  0.250
Ag  0.000  0.000  0.500
Sn  0.000  0.500  0.000

***

Record 4
Entry from Alexandria via LeMat-Bulk: a relaxed structure of Sr2CdRh2 (PBE).

Output
The calculation puts the calculated formation energy at -0.3057 eV/atom.

abc: 10.373 5.917 8.358
angles: 90.00 103.92 90.00
Space group C2/c (No. 15)
One atom of each set of equivalent atoms:
Sr  0.147  0.146  0.146
Cd  0.000  0.377  0.750
Rh  0.140  0.350  0.508

***

Record 5
Entry from Alexandria via LeMat-Bulk: a relaxed structure of Na2USnO6 (PBE).

Output
The formation energy from raw total energies is -2.25 eV/atom.

abc: 5.853 5.853 4.187
angles: 90.00 90.00 90.00
Space group P4mm (No. 99)
One atom of each set of equivalent atoms:
Na  0.000  0.500  0.000
U  0.000  0.000  0.505
Sn  0.500  0.500  0.504
O  0.000  0.000  0.005
O  0.248  0.248  0.506
O  0.500  0.500  0.005

***

Record 6
Entry from Alexandria via LeMat-Bulk: a relaxed structure of BaBeSi2Tc (PBE).

Output
The formation energy from raw total energies is -0.16 eV/atom.

abc: 4.695 4.695 4.652
angles: 90.00 90.00 90.00
Space group P4/mmm (No. 123)
One atom of each set of equivalent atoms:
Ba  0.000  0.000  0.000
Be  0.500  0.500  0.000
Si  0.000  0.500  0.500
Tc  0.500  0.500  0.500

***

Record 7
Entry from Alexandria via LeMat-Bulk: a relaxed structure of MnOsS (PBE).

Output
The formation energy from raw total energies is 0.16 eV/atom.

abc: 11.594 2.774 4.806
angles: 90.00 90.00 90.00
Space group Amm2 (No. 38)
One atom of each set of equivalent atoms:
Mn  0.000  0.000  0.000
Mn  0.500  0.000  0.003
Os  0.168  0.000  0.333
S  0.361  0.000  0.670

***

Record 8
Entry from Alexandria via LeMat-Bulk: a relaxed structure of CeZrPa2 (PBE).

Output
The value obtained for the energy relative to the lowest polymorph listed for this composition is 0.534 kcal/mol of atoms. The calculation puts the calculated formation energy at 0.0892 eV/atom.

abc: 3.105 3.105 10.167
angles: 90.00 90.00 90.00
Space group P4/mmm (No. 123)
One atom of each set of equivalent atoms:
Ce  0.000  0.000  0.000
Zr  0.000  0.000  0.500
Pa  0.500  0.500  0.252

***

Record 9
Entry from Alexandria via LeMat-Bulk: a relaxed structure of La2PmCd3 (PBE).

Output
The calculation puts the calculated formation energy at -0.3230 eV/atom.

abc: 3.890 3.890 11.778
angles: 90.00 90.00 90.00
Space group P4/mmm (No. 123)
One atom of each set of equivalent atoms:
La  0.000  0.000  0.170
Pm  0.000  0.000  0.500
Cd  0.500  0.500  0.000
Cd  0.500  0.500  0.343

***

Record 10
Entry from Alexandria via LeMat-Bulk: a relaxed structure of CaCe2InN (PBE).

Output
The formation energy from raw total energies is -0.77 eV/atom.

abc: 4.900 4.900 5.019
angles: 90.00 90.00 90.00
Space group P4/mmm (No. 123)
One atom of each set of equivalent atoms:
Ca  0.000  0.000  0.000
Ce  0.000  0.500  0.500
In  0.500  0.500  0.000
N  0.000  0.000  0.500

***

Record 11
Entry from Alexandria via LeMat-Bulk: a relaxed structure of KHg3Pd (PBE).

Output
The value obtained for the energy relative to the lowest polymorph listed for this composition is 3.316 kcal/mol of atoms. The calculation puts the calculated formation energy at -0.0980 eV/atom.

abc: 3.402 7.183 11.460
angles: 90.00 90.00 90.00
Space group Amm2 (No. 38)
One atom of each set of equivalent atoms:
K  0.000  0.000  0.000
Hg  0.000  0.202  0.269
Hg  0.500  0.000  0.488
Pd  0.500  0.000  0.730

***

Record 12
Entry from Alexandria via LeMat-Bulk: a relaxed structure of MgGa3Ir4 (PBE).

Output
The calculation puts the calculated formation energy at -0.4722 eV/atom.

abc: 4.329 4.329 6.118
angles: 90.00 90.00 90.00
Space group P4/mmm (No. 123)
One atom of each set of equivalent atoms:
Mg  0.000  0.000  0.000
Ga  0.000  0.000  0.500
Ga  0.500  0.500  0.000
Ga  0.500  0.500  0.500
Ir  0.000  0.500  0.257

***

Copy entry 9 word for word.
Entry from Alexandria via LeMat-Bulk: a relaxed structure of La2PmCd3 (PBE).

Output
The calculation puts the calculated formation energy at -0.3230 eV/atom.

abc: 3.890 3.890 11.778
angles: 90.00 90.00 90.00
Space group P4/mmm (No. 123)
One atom of each set of equivalent atoms:
La  0.000  0.000  0.170
Pm  0.000  0.000  0.500
Cd  0.500  0.500  0.000
Cd  0.500  0.500  0.343